P | Computed, not measured: an optimized crystal structure of TiNiRu at the GGA-PBE level of DFT.

Values from the calculation:
* crystal system: tetragonal
* calculated volume: 13.71 Å³ per atom

Cell: 3.057 3.057 8.803 Å, 90.00 90.00 90.00°
Space group I4mm (No. 107)
Asymmetric unit:
Ti  0.000  0.000  0.000 (multiplicity 2)
Ni  0.000  0.000  0.340 (multiplicity 2)
Ru  0.000  0.000  0.658 (multiplicity 2)

***

Q | Computed, not measured: an optimized crystal structure of TiNiRu at the GGA-PBE level of DFT.

Values from the calculation:
* crystal system: monoclinic
* calculated volume: 13.77 Å³ per atom

Cell: 5.212 5.170 6.205 Å, 90.00 98.87 90.00°
Space group C2/m (No. 12)
Asymmetric unit:
Ti  0.196  0.000  0.200 (multiplicity 4)
Ni  0.000  0.248  0.500 (multiplicity 4)
Ru  0.195  0.500  0.187 (multiplicity 4)

***

Computed energies relative to the best structure, in kJ/mol of atoms: P 0.0; Q 2.1

***

P | Computed, not measured: an optimized crystal structure of Ti4NiRu at the GGA-PBE level of DFT.

Values from the calculation:
* crystal system: monoclinic
* calculated volume: 17.44 Å³ per atom

Cell: 7.348 4.236 7.153 Å, 90.00 109.92 90.00°
Space group C2/m (No. 12)
Asymmetric unit:
Ti  0.124  0.000  0.372 (multiplicity 4)
Ti  0.127  0.500  0.881 (multiplicity 4)
Ni  0.000  0.000  0.000 (multiplicity 2)
Ru  0.000  0.500  0.500 (multiplicity 2)

***

Q | Computed, not measured: an optimized crystal structure of Ti4NiRu at the GGA-PBE level of DFT.

Values from the calculation:
* crystal system: tetragonal
* calculated volume: 15.02 Å³ per atom

Cell: 3.054 3.054 9.663 Å, 90.00 90.00 90.00°
Space group P4/mmm (No. 123)
Asymmetric unit:
Ti  0.000  0.000  0.156 (multiplicity 2)
Ti  0.500  0.500  0.340 (multiplicity 2)
Ni  0.500  0.500  0.000 (multiplicity 1)
Ru  0.000  0.000  0.500 (multiplicity 1)

***

Computed energies relative to the best structure, in kJ/mol of atoms: P 35.0; Q 0.0

***

P | Computed, not measured: an optimized crystal structure of TiNi2Ru2 at the GGA-PBE level of DFT.

Values from the calculation:
* crystal system: tetragonal
* calculated volume: 13.43 Å³ per atom

Cell: 6.413 6.413 3.267 Å, 90.00 90.00 90.00°
Space group P4/mbm (No. 127)
Asymmetric unit:
Ti  0.000  0.000  0.000 (multiplicity 2)
Ni  0.131  0.369  0.000 (multiplicity 4)
Ru  0.162  0.662  0.500 (multiplicity 4)

***

Q | Computed, not measured: an optimized crystal structure of TiNi2Ru2 at the GGA-PBE level of DFT.

Values from the calculation:
* crystal system: tetragonal
* calculated volume: 13.66 Å³ per atom

Cell: 7.048 7.048 2.750 Å, 90.00 90.00 90.00°
Space group P4/mbm (No. 127)
Asymmetric unit:
Ti  0.000  0.000  0.000 (multiplicity 2)
Ni  0.170  0.330  0.500 (multiplicity 4)
Ru  0.128  0.628  0.000 (multiplicity 4)

***

Computed energies relative to the best structure, in kJ/mol of atoms: P 0.0; Q 5.9

***

P | Computed, not measured: an optimized crystal structure of TlNiRu2 at the GGA-PBE level of DFT.

Values from the calculation:
* crystal system: cubic
* calculated volume: 15.31 Å³ per atom

Cell: 6.257 6.257 6.257 Å, 90.00 90.00 90.00°
Space group Fm-3m (No. 225)
Asymmetric unit:
Tl  0.000  0.000  0.000 (multiplicity 4)
Ni  0.000  0.000  0.500 (multiplicity 4)
Ru  0.250  0.250  0.250 (multiplicity 8)

***

Q | Computed, not measured: an optimized crystal structure of TlNiRu2 at the GGA-PBE level of DFT.

Values from the calculation:
* crystal system: monoclinic
* calculated volume: 15.56 Å³ per atom

Cell: 8.833 2.880 4.996 Å, 90.00 101.66 90.00°
Space group C2/m (No. 12)
Asymmetric unit:
Tl  0.000  0.000  0.000 (multiplicity 2)
Ni  0.000  0.500  0.500 (multiplicity 2)
Ru  0.238  0.000  0.706 (multiplicity 4)

***

R | Computed, not measured: an optimized crystal structure of TlNiRu2 at the GGA-PBE level of DFT.

Values from the calculation:
* crystal system: tetragonal
* calculated volume: 16.79 Å³ per atom

Cell: 7.331 7.331 4.999 Å, 90.00 90.00 90.00°
Space group I-42d (No. 122)
Asymmetric unit:
Tl  0.000  0.000  0.000 (multiplicity 4)
Ni  0.000  0.000  0.500 (multiplicity 4)
Ru  0.196  0.750  0.625 (multiplicity 8)

***

S | Computed, not measured: an optimized crystal structure of TlNiRu2 at the GGA-PBE level of DFT.

Values from the calculation:
* crystal system: tetragonal
* calculated volume: 15.44 Å³ per atom

Cell: 3.890 3.890 8.164 Å, 90.00 90.00 90.00°
Space group I4/mmm (No. 139)
Asymmetric unit:
Tl  0.000  0.000  0.000 (multiplicity 2)
Ni  0.000  0.000  0.500 (multiplicity 2)
Ru  0.000  0.500  0.250 (multiplicity 4)

***

Computed energies relative to the best structure, in kJ/mol of atoms: P 13.3; Q 0.0; R 36.7; S 8.9

***

P | Computed, not measured: an optimized crystal structure of TlNiRu3 at the GGA-PBE level of DFT.

Values from the calculation:
* crystal system: cubic
* calculated volume: 24.46 Å³ per atom

Cell: 4.964 4.964 4.964 Å, 90.00 90.00 90.00°
Space group Pm-3m (No. 221)
Asymmetric unit:
Tl  0.000  0.000  0.000 (multiplicity 1)
Ni  0.500  0.500  0.500 (multiplicity 1)
Ru  0.000  0.000  0.500 (multiplicity 3)

***

Q | Computed, not measured: an optimized crystal structure of TlNiRu3 at the GGA-PBE level of DFT.

Values from the calculation:
* crystal system: cubic
* calculated volume: 18.56 Å³ per atom

Cell: 4.528 4.528 4.528 Å, 90.00 90.00 90.00°
Space group Pm-3m (No. 221)
Asymmetric unit:
Tl  0.000  0.000  0.000 (multiplicity 1)
Ni  0.500  0.500  0.500 (multiplicity 1)
Ru  0.000  0.500  0.500 (multiplicity 3)

***

Computed energies relative to the best structure, in kJ/mol of atoms: P 126.9; Q 0.0

***

P | Computed, not measured: an optimized crystal structure of TlNiRu at the GGA-PBE level of DFT.

Values from the calculation:
* crystal system: tetragonal
* calculated volume: 15.83 Å³ per atom

Cell: 3.011 3.011 10.474 Å, 90.00 90.00 90.00°
Space group I4mm (No. 107)
Asymmetric unit:
Tl  0.000  0.000  0.000 (multiplicity 2)
Ni  0.000  0.000  0.323 (multiplicity 2)
Ru  0.000  0.000  0.693 (multiplicity 2)

***

Q | Computed, not measured: an optimized crystal structure of TlNiRu at the GGA-PBE level of DFT.

Values from the calculation:
* crystal system: cubic
* calculated volume: 17.76 Å³ per atom

Cell: 5.974 5.974 5.974 Å, 90.00 90.00 90.00°
Space group F-43m (No. 216)
Asymmetric unit:
Tl  0.000  0.000  0.000 (multiplicity 4)
Ni  0.250  0.250  0.750 (multiplicity 4)
Ru  0.000  0.000  0.500 (multiplicity 4)

***

R | Computed, not measured: an optimized crystal structure of TlNiRu at the GGA-PBE level of DFT.

Values from the calculation:
* crystal system: cubic
* calculated volume: 19.22 Å³ per atom

Cell: 6.132 6.132 6.132 Å, 90.00 90.00 90.00°
Space group F-43m (No. 216)
Asymmetric unit:
Tl  0.000  0.000  0.000 (multiplicity 4)
Ni  0.000  0.000  0.500 (multiplicity 4)
Ru  0.250  0.250  0.750 (multiplicity 4)

***

S | Computed, not measured: an optimized crystal structure of TlNiRu at the GGA-PBE level of DFT.

Values from the calculation:
* crystal system: trigonal
* calculated volume: 16.42 Å³ per atom

Cell: 4.2878 4.2878 3.0937 Å, 90.00 90.00 120.00°
Space group P3m1 (No. 156)
Asymmetric unit:
Tl  0.0000  0.0000  0.0000 (multiplicity 1)
Ni  0.6667  0.3333  0.3562 (multiplicity 1)
Ru  0.3333  0.6667  0.5395 (multiplicity 1)

***

Computed energies relative to the best structure, in kJ/mol of atoms: P 0.0; Q 13.5; R 31.2; S 12.3

***

P | Computed, not measured: an optimized crystal structure of Tm4NiRu at the GGA-PBE level of DFT.

Values from the calculation:
* crystal system: monoclinic
* calculated volume: 24.68 Å³ per atom

Cell: 6.656 6.681 6.661 Å, 90.00 90.27 90.00°
Space group P2_1/c (No. 14)
Asymmetric unit:
Tm  0.163  0.161  0.339 (multiplicity 4)
Tm  0.336  0.665  0.335 (multiplicity 4)
Ni  0.500  0.000  0.500 (multiplicity 2)
Ru  0.000  0.000  0.000 (multiplicity 2)

***

Q | Computed, not measured: an optimized crystal structure of Tm4NiRu at the GGA-PBE level of DFT.

Values from the calculation:
* crystal system: monoclinic
* calculated volume: 23.32 Å³ per atom

Cell: 6.034 6.464 7.547 Å, 90.00 108.05 90.00°
Space group P2_1/m (No. 11)
Asymmetric unit:
Tm  0.003  0.000  0.262 (multiplicity 4)
Tm  0.427  0.250  0.100 (multiplicity 2)
Tm  0.451  0.250  0.619 (multiplicity 2)
Ni  0.243  0.750  0.566 (multiplicity 2)
Ru  0.205  0.750  0.047 (multiplicity 2)

***

Computed energies relative to the best structure, in kJ/mol of atoms: P 3.3; Q 0.0

***

P | Computed, not measured: an optimized crystal structure of YTmNiRu at the GGA-PBE level of DFT.

Values from the calculation:
* crystal system: cubic
* calculated volume: 19.21 Å³ per atom

Cell: 6.748 6.748 6.748 Å, 90.00 90.00 90.00°
Space group F-43m (No. 216)
Asymmetric unit:
Y  0.000  0.000  0.000 (multiplicity 4)
Tm  0.000  0.000  0.500 (multiplicity 4)
Ni  0.250  0.250  0.250 (multiplicity 4)
Ru  0.250  0.250  0.750 (multiplicity 4)

***

Q | Computed, not measured: an optimized crystal structure of YTmNiRu at the GGA-PBE level of DFT.

Values from the calculation:
* crystal system: tetragonal
* calculated volume: 19.24 Å³ per atom

Cell: 3.386 3.386 6.713 Å, 90.00 90.00 90.00°
Space group P4mm (No. 99)
Asymmetric unit:
Y  0.000  0.000  0.000 (multiplicity 1)
Tm  0.000  0.000  0.497 (multiplicity 1)
Ni  0.500  0.500  0.740 (multiplicity 1)
Ru  0.500  0.500  0.255 (multiplicity 1)

***

Computed energies relative to the best structure, in kJ/mol of atoms: P 2.0; Q 0.0

***

P | Computed, not measured: an optimized crystal structure of UNiRu at the GGA-PBE level of DFT.

Values from the calculation:
* crystal system: orthorhombic
* calculated volume: 21.14 Å³ per atom

Cell: 6.787 7.017 5.327 Å, 90.00 90.00 90.00°
Space group Cmmm (No. 65)
Asymmetric unit:
U  0.000  0.000  0.000 (multiplicity 2)
U  0.000  0.500  0.500 (multiplicity 2)
Ni  0.165  0.000  0.500 (multiplicity 4)
Ru  0.000  0.317  0.000 (multiplicity 4)

***

Q | Computed, not measured: an optimized crystal structure of UNiRu at the GGA-PBE level of DFT.

Values from the calculation:
* crystal system: trigonal
* calculated volume: 17.32 Å³ per atom

Cell: 3.6179 3.6179 4.5842 Å, 90.00 90.00 120.00°
Space group P3m1 (No. 156)
Asymmetric unit:
U  0.0000  0.0000  0.0000 (multiplicity 1)
Ni  0.3333  0.6667  0.6520 (multiplicity 1)
Ru  0.6667  0.3333  0.3332 (multiplicity 1)

***

Computed energies relative to the best structure, in kJ/mol of atoms: P 61.1; Q 0.0

***

P | Computed, not measured: an optimized crystal structure of VNiRu at the GGA-PBE level of DFT.

Values from the calculation:
* crystal system: orthorhombic
* calculated volume: 14.65 Å³ per atom

Cell: 3.075 3.707 3.854 Å, 90.00 90.00 90.00°
Space group Pmmm (No. 47)
Asymmetric unit:
V  0.000  0.000  0.000 (multiplicity 1)
Ni  0.500  0.500  0.000 (multiplicity 1)
Ru  0.500  0.000  0.500 (multiplicity 1)

***

Q | Computed, not measured: an optimized crystal structure of VNiRu at the GGA-PBE level of DFT.

Values from the calculation:
* crystal system: tetragonal
* calculated volume: 14.76 Å³ per atom

Cell: 2.609 2.609 13.011 Å, 90.00 90.00 90.00°
Space group I4mm (No. 107)
Asymmetric unit:
V  0.000  0.000  0.000 (multiplicity 2)
Ni  0.000  0.000  0.171 (multiplicity 2)
Ru  0.000  0.000  0.365 (multiplicity 2)

***

R | Computed, not measured: an optimized crystal structure of VNiRu at the GGA-PBE level of DFT.

Values from the calculation:
* crystal system: trigonal
* calculated volume: 12.79 Å³ per atom

Cell: 4.1605 4.1605 2.5595 Å, 90.00 90.00 120.00°
Space group P3m1 (No. 156)
Asymmetric unit:
V  0.0000  0.0000  0.0000 (multiplicity 1)
Ni  0.3333  0.6667  0.7949 (multiplicity 1)
Ru  0.6667  0.3333  0.3283 (multiplicity 1)

***

Computed energies relative to the best structure, in kJ/mol of atoms: P 51.5; Q 69.1; R 0.0

***

P | Computed, not measured: an optimized crystal structure of V2Ni6Ru at the GGA-PBE level of DFT.

Values from the calculation:
* crystal system: monoclinic
* calculated volume: 11.65 Å³ per atom

Cell: 10.912 3.565 5.690 Å, 90.00 108.61 90.00°
Space group C2/m (No. 12)
Asymmetric unit:
V  0.061  0.000  0.325 (multiplicity 4)
Ni  0.109  0.500  0.661 (multiplicity 4)
Ni  0.170  0.000  0.002 (multiplicity 4)
Ni  0.225  0.500  0.337 (multiplicity 4)
Ru  0.000  0.500  0.000 (multiplicity 2)

***

Q | Computed, not measured: an optimized crystal structure of V2Ni6Ru at the GGA-PBE level of DFT.

Values from the calculation:
* crystal system: monoclinic
* calculated volume: 11.61 Å³ per atom

Cell: 8.179 3.555 7.658 Å, 90.00 110.19 90.00°
Space group C2/m (No. 12)
Asymmetric unit:
V  0.170  0.000  0.229 (multiplicity 4)
Ni  0.001  0.500  0.664 (multiplicity 4)
Ni  0.166  0.000  0.554 (multiplicity 4)
Ni  0.167  0.000  0.890 (multiplicity 4)
Ru  0.000  0.500  0.000 (multiplicity 2)

***

Computed energies relative to the best structure, in kJ/mol of atoms: P 1.4; Q 0.0